Be3MoF, optimized geometry, DFT GGA+U; energy relative to the lowest polymorph listed for this composition = 1.372 eV/atom; DFT total energy = -0.1876 Ry/atom; SG = Pm-3m, No. 221
1.0
4.590 0.000 0.000
0.000 4.590 0.000
0.000 0.000 4.590
Be Mo F
3 1 1
direct
0.000 0.000 0.500 Be
0.000 0.500 0.000 Be
0.500 0.000 0.000 Be
0.000 0.000 0.000 Mo
0.500 0.500 0.500 F